Entry 1:
VASP calculation (PBEsol) on a relaxed structure of Er2Mn17C3.

Volume in Å³ per atom: 11.16
Fermi-level density of states in states/eV/cell: 44.08
DFT formation energy in meV/atom: -115

a b c (Å): 8.328 8.328 8.175
angles (deg): 90.00 90.00 120.00
Atoms (fractional coordinates):
Er: 0.000 0.000 0.250
Er: 0.000 0.000 0.750
Er: 0.333 0.667 0.250
Er: 0.667 0.333 0.750
Mn: 0.000 0.500 0.000
Mn: 0.000 0.500 0.500
Mn: 0.062 0.391 0.750
Mn: 0.062 0.671 0.750
Mn: 0.171 0.342 0.027
Mn: 0.171 0.342 0.473
Mn: 0.171 0.829 0.027
Mn: 0.171 0.829 0.473
Mn: 0.329 0.391 0.750
Mn: 0.329 0.938 0.750
Mn: 0.333 0.667 0.607
Mn: 0.333 0.667 0.893
Mn: 0.342 0.171 0.527
Mn: 0.342 0.171 0.973
Mn: 0.391 0.062 0.250
Mn: 0.391 0.329 0.250
Mn: 0.500 0.000 0.000
Mn: 0.500 0.000 0.500
Mn: 0.500 0.500 0.000
Mn: 0.500 0.500 0.500
Mn: 0.609 0.671 0.750
Mn: 0.609 0.938 0.750
Mn: 0.658 0.829 0.027
Mn: 0.658 0.829 0.473
Mn: 0.667 0.333 0.107
Mn: 0.667 0.333 0.393
Mn: 0.671 0.062 0.250
Mn: 0.671 0.609 0.250
Mn: 0.829 0.171 0.527
Mn: 0.829 0.171 0.973
Mn: 0.829 0.658 0.527
Mn: 0.829 0.658 0.973
Mn: 0.938 0.329 0.250
Mn: 0.938 0.609 0.250
C: 0.165 0.329 0.250
C: 0.165 0.835 0.250
C: 0.329 0.165 0.750
C: 0.671 0.835 0.250
C: 0.835 0.165 0.750
C: 0.835 0.671 0.750

---

Entry 2:
VASP calculation (PBEsol) on a relaxed structure of Hg4As2I3.

Volume in Å³ per atom: 30.60
E_form (uncorrected) in meV per atom: -156.9

a b c (Å): 13.012 13.012 13.012
angles (deg): 90.00 90.00 90.00
Atoms (fractional coordinates):
Hg: 0.008 0.240 0.536
Hg: 0.008 0.260 0.036
Hg: 0.036 0.008 0.260
Hg: 0.036 0.492 0.760
Hg: 0.223 0.223 0.223
Hg: 0.223 0.277 0.723
Hg: 0.240 0.536 0.008
Hg: 0.240 0.964 0.508
Hg: 0.260 0.036 0.008
Hg: 0.260 0.464 0.508
Hg: 0.277 0.723 0.223
Hg: 0.277 0.777 0.723
Hg: 0.464 0.508 0.260
Hg: 0.464 0.992 0.760
Hg: 0.492 0.740 0.536
Hg: 0.492 0.760 0.036
Hg: 0.508 0.240 0.964
Hg: 0.508 0.260 0.464
Hg: 0.536 0.008 0.240
Hg: 0.536 0.492 0.740
Hg: 0.723 0.223 0.277
Hg: 0.723 0.277 0.777
Hg: 0.740 0.536 0.492
Hg: 0.740 0.964 0.992
Hg: 0.760 0.036 0.492
Hg: 0.760 0.464 0.992
Hg: 0.777 0.723 0.277
Hg: 0.777 0.777 0.777
Hg: 0.964 0.508 0.240
Hg: 0.964 0.992 0.740
Hg: 0.992 0.740 0.964
Hg: 0.992 0.760 0.464
As: 0.054 0.554 0.946
As: 0.054 0.946 0.446
As: 0.110 0.110 0.110
As: 0.110 0.390 0.610
As: 0.390 0.610 0.110
As: 0.390 0.890 0.610
As: 0.446 0.054 0.946
As: 0.446 0.446 0.446
As: 0.554 0.554 0.554
As: 0.554 0.946 0.054
As: 0.610 0.110 0.390
As: 0.610 0.390 0.890
As: 0.890 0.610 0.390
As: 0.890 0.890 0.890
As: 0.946 0.054 0.554
As: 0.946 0.446 0.054
I: 0.057 0.740 0.689
I: 0.057 0.760 0.189
I: 0.189 0.057 0.760
I: 0.189 0.443 0.260
I: 0.240 0.689 0.443
I: 0.240 0.811 0.943
I: 0.260 0.189 0.443
I: 0.260 0.311 0.943
I: 0.311 0.557 0.760
I: 0.311 0.943 0.260
I: 0.443 0.240 0.689
I: 0.443 0.260 0.189
I: 0.557 0.740 0.811
I: 0.557 0.760 0.311
I: 0.689 0.057 0.740
I: 0.689 0.443 0.240
I: 0.740 0.689 0.057
I: 0.740 0.811 0.557
I: 0.760 0.189 0.057
I: 0.760 0.311 0.557
I: 0.811 0.557 0.740
I: 0.811 0.943 0.240
I: 0.943 0.240 0.811
I: 0.943 0.260 0.311

---

Entry 3:
VASP calculation (PBEsol) on a relaxed structure of Li3Fe3Sn2O10.

Volume in Å³ per atom: 10.25
E_form (uncorrected) in meV per atom: -1476.9
Fermi-level density of states in states/eV/cell: 12.40

a b c (Å): 4.955 5.072 8.028
angles (deg): 74.18 74.00 77.59
Atoms (fractional coordinates):
Li: 0.000 0.000 0.000
Li: 0.467 0.697 0.126
Li: 0.533 0.303 0.874
Fe: 0.034 0.205 0.589
Fe: 0.500 0.500 0.500
Fe: 0.966 0.795 0.411
Sn: 0.010 0.376 0.199
Sn: 0.990 0.624 0.801
O: 0.176 0.985 0.194
O: 0.214 0.829 0.549
O: 0.224 0.457 0.379
O: 0.237 0.610 0.976
O: 0.271 0.297 0.710
O: 0.729 0.703 0.290
O: 0.763 0.390 0.024
O: 0.776 0.543 0.621
O: 0.786 0.171 0.451
O: 0.824 0.015 0.806

---

Entry 4:
VASP calculation (PBEsol) on a relaxed structure of FeB3S.

Volume in Å³ per atom: 10.99
E_form (uncorrected) in meV per atom: 1303.2
Fermi-level density of states in states/eV/cell: 5.14

a b c (Å): 3.802 3.802 3.802
angles (deg): 90.00 90.00 90.00
Atoms (fractional coordinates):
Fe: 0.000 0.000 0.000
B: 0.000 0.000 0.500
B: 0.000 0.500 0.000
B: 0.500 0.000 0.000
S: 0.500 0.500 0.500

---

Entry 5:
VASP calculation (PBEsol) on a relaxed structure of TlZn2Cr.

Volume in Å³ per atom: 16.00
Distance to the lowest polymorph of the same formula in eV per atom: 0.000
Fermi-level density of states in states/eV/cell: 2.50
DFT formation energy in meV/atom: 354

a b c (Å): 3.968 3.968 4.065
angles (deg): 90.00 90.00 90.00
Atoms (fractional coordinates):
Tl: 0.000 0.000 0.000
Zn: 0.000 0.500 0.500
Zn: 0.500 0.000 0.500
Cr: 0.500 0.500 0.000

---

Entry 6:
VASP calculation (PBEsol) on a relaxed structure of Ca2CuAg.

Volume in Å³ per atom: 24.31
Fermi-level density of states in states/eV/cell: 2.19
DFT formation energy in meV/atom: -187

a b c (Å): 4.397 5.823 5.823
angles (deg): 40.72 90.00 90.00
Atoms (fractional coordinates):
Ca: 0.000 0.000 0.000
Ca: 0.500 0.285 0.285
Cu: 0.000 0.710 0.710
Ag: 0.500 0.576 0.576

---

Q: What is the formula in the sixth record?
A: Ca2CuAg

---

Q: The highest volume belongs to which entry?
A: Hg4As2I3

---

What did the second record say?
VASP calculation (PBEsol) on a relaxed structure of Hg4As2I3.

Volume in Å³ per atom: 30.60
E_form (uncorrected) in meV per atom: -156.9

a b c (Å): 13.012 13.012 13.012
angles (deg): 90.00 90.00 90.00
Atoms (fractional coordinates):
Hg: 0.008 0.240 0.536
Hg: 0.008 0.260 0.036
Hg: 0.036 0.008 0.260
Hg: 0.036 0.492 0.760
Hg: 0.223 0.223 0.223
Hg: 0.223 0.277 0.723
Hg: 0.240 0.536 0.008
Hg: 0.240 0.964 0.508
Hg: 0.260 0.036 0.008
Hg: 0.260 0.464 0.508
Hg: 0.277 0.723 0.223
Hg: 0.277 0.777 0.723
Hg: 0.464 0.508 0.260
Hg: 0.464 0.992 0.760
Hg: 0.492 0.740 0.536
Hg: 0.492 0.760 0.036
Hg: 0.508 0.240 0.964
Hg: 0.508 0.260 0.464
Hg: 0.536 0.008 0.240
Hg: 0.536 0.492 0.740
Hg: 0.723 0.223 0.277
Hg: 0.723 0.277 0.777
Hg: 0.740 0.536 0.492
Hg: 0.740 0.964 0.992
Hg: 0.760 0.036 0.492
Hg: 0.760 0.464 0.992
Hg: 0.777 0.723 0.277
Hg: 0.777 0.777 0.777
Hg: 0.964 0.508 0.240
Hg: 0.964 0.992 0.740
Hg: 0.992 0.740 0.964
Hg: 0.992 0.760 0.464
As: 0.054 0.554 0.946
As: 0.054 0.946 0.446
As: 0.110 0.110 0.110
As: 0.110 0.390 0.610
As: 0.390 0.610 0.110
As: 0.390 0.890 0.610
As: 0.446 0.054 0.946
As: 0.446 0.446 0.446
As: 0.554 0.554 0.554
As: 0.554 0.946 0.054
As: 0.610 0.110 0.390
As: 0.610 0.390 0.890
As: 0.890 0.610 0.390
As: 0.890 0.890 0.890
As: 0.946 0.054 0.554
As: 0.946 0.446 0.054
I: 0.057 0.740 0.689
I: 0.057 0.760 0.189
I: 0.189 0.057 0.760
I: 0.189 0.443 0.260
I: 0.240 0.689 0.443
I: 0.240 0.811 0.943
I: 0.260 0.189 0.443
I: 0.260 0.311 0.943
I: 0.311 0.557 0.760
I: 0.311 0.943 0.260
I: 0.443 0.240 0.689
I: 0.443 0.260 0.189
I: 0.557 0.740 0.811
I: 0.557 0.760 0.311
I: 0.689 0.057 0.740
I: 0.689 0.443 0.240
I: 0.740 0.689 0.057
I: 0.740 0.811 0.557
I: 0.760 0.189 0.057
I: 0.760 0.311 0.557
I: 0.811 0.557 0.740
I: 0.811 0.943 0.240
I: 0.943 0.240 0.811
I: 0.943 0.260 0.311